a:
Compound: NiAsIO2
Source: Alexandria via LeMat-Bulk
Functional: PBE+U
Structure: relaxed

Structure (CIF):
```
data_NiAsIO2
_space_group_name_H-M_alt 'P 1'
_space_group_IT_number 1
_space_group_name_Hall 'P 1'
_cell_length_a 4.0221
_cell_length_b 4.0221
_cell_length_c 5.3786
_cell_angle_alpha 90.00
_cell_angle_beta 90.00
_cell_angle_gamma 90.00
loop_
_atom_site_label
_atom_site_type_symbol
_atom_site_fract_x
_atom_site_fract_y
_atom_site_fract_z
O1 O 0.5000 0.0000 0.0000
O2 O 0.0000 0.5000 0.0000
As1 As 0.5000 0.5000 0.5000
I1 I 0.0000 0.0000 0.5000
Ni1 Ni 0.0000 0.0000 0.0000
```



b:
Compound: NiAsIO2
Source: Alexandria via LeMat-Bulk
Functional: PBE+U
Structure: relaxed

Structure (CIF):
```
data_NiAsIO2
_space_group_name_H-M_alt 'P 1'
_space_group_IT_number 1
_space_group_name_Hall 'P 1'
_cell_length_a 3.7724
_cell_length_b 3.7724
_cell_length_c 6.6316
_cell_angle_alpha 90.00
_cell_angle_beta 90.00
_cell_angle_gamma 90.00
loop_
_atom_site_label
_atom_site_type_symbol
_atom_site_fract_x
_atom_site_fract_y
_atom_site_fract_z
Ni1 Ni 0.5000 0.5000 0.5000
O1 O 0.5000 0.0000 0.0000
O2 O 0.0000 0.5000 0.0000
I1 I 0.0000 0.0000 0.5000
As1 As 0.0000 0.0000 0.0000
```



Question: of the structures shown, which is the most stable? Reply: b.